1.
The following is a PBE calculation of an optimized crystal structure of Mg2SnW, from Alexandria via LeMat-Bulk.

Summary:
For the uncorrected energy, the calculation gives -4.83 eV/atom. As for the formation energy: 205 meV/atom. The theoretical density is 6.88 g/cm3.

Cell lengths 5.190, 3.200, 10.363 Å; angles 90.00, 100.17, 90.00 degrees
Fractional positions:
W: 0.257 0.000 0.211
W: 0.645 0.500 0.216
Sn: 0.960 0.000 0.418
Sn: 0.550 0.500 0.751
Mg: 0.256 0.500 0.976
Mg: 0.778 0.000 0.004
Mg: 0.467 0.500 0.460
Mg: 0.027 0.000 0.701

***

2.
The following is a PBE calculation of an optimized crystal structure of YMgSn, from Alexandria via LeMat-Bulk.

Summary:
For the uncorrected energy, the calculation gives -4.50 eV/atom. As for the formation energy: -477 meV/atom. The theoretical density is 5.14 g/cm3.

Cell lengths 3.569, 4.925, 4.925 Å; angles 120.00, 90.00, 90.00 degrees
Fractional positions:
Y: 0.667 0.667 0.333
Mg: 0.167 0.000 0.000
Sn: 0.166 0.333 0.667

***

| no. | N(E_F) (states/eV per cell) |
| --- | --- |
| 1 | 4.1 |
| 2 | 1.0 |